{
  "formula": "KGa",
  "functional": "GGA-PBE",
  "state": "optimized geometry",
  "lattice_angstrom": [[9.5908, 0.0000, 0.0000], [0.0000, 9.5908, 0.0000], [0.0000, 0.0000, 9.5908]],
  "species": ["Ga", "K", "Ga", "K", "Ga", "K", "Ga", "Ga", "K", "K", "Ga", "K"],
  "fractional_positions": [[0.0000, 0.5000, 0.7500], [0.0000, 0.2500, 0.5000], [0.0000, 0.5000, 0.2500], [0.0000, 0.7500, 0.5000], [0.2500, 0.0000, 0.5000], [0.7500, 0.5000, 0.0000], [0.7500, 0.0000, 0.5000], [0.5000, 0.7500, 0.0000], [0.5000, 0.0000, 0.7500], [0.2500, 0.5000, 0.0000], [0.5000, 0.2500, 0.0000], [0.5000, 0.0000, 0.2500]],
  "delta_e_f_ev_per_atom": 0.7751,
  "de_polymorph_mev_per_atom": 881,
  "m_tot_mub_per_atom": 0.0000
}

=====

{
  "formula": "VAuS2Cl",
  "functional": "GGA-PBE",
  "state": "optimized geometry",
  "lattice_angstrom": [[4.8980, 0.0000, 0.0000], [0.0000, 4.8980, 0.0000], [0.0000, 0.0000, 4.7962]],
  "species": ["S", "Cl", "S", "V", "Au"],
  "fractional_positions": [[0.5000, 0.0000, 0.0000], [0.0000, 0.0000, 0.5000], [0.0000, 0.5000, 0.0000], [0.5000, 0.5000, 0.5000], [0.0000, 0.0000, 0.0000]],
  "de_polymorph_mev_per_atom": 651,
  "m_tot_mub_per_atom": 0.5334,
  "formation_energy_uncorrected_ev_per_fu": 3.24
}

=====

{
  "formula": "Zr2ZnNi3",
  "functional": "GGA-PBE",
  "state": "optimized geometry",
  "lattice_angstrom": [[-0.1136, -4.9251, 1.1188], [1.3943, 1.5105, -4.6148], [7.6072, 0.3746, 2.4210]],
  "species": ["Ni", "Zr", "Zr", "Zn", "Ni", "Zr", "Ni", "Zr", "Ni", "Ni", "Ni", "Zn"],
  "fractional_positions": [[0.1705, 0.8295, 0.2500], [0.3333, 0.6667, 0.5568], [0.3333, 0.6667, 0.9432], [0.0000, 0.0000, 0.0000], [0.3410, 0.1705, 0.7500], [0.6667, 0.3333, 0.0568], [0.8295, 0.6590, 0.7500], [0.6667, 0.3333, 0.4432], [0.8295, 0.1705, 0.7500], [0.6590, 0.8295, 0.2500], [0.1705, 0.3410, 0.2500], [0.0000, 0.0000, 0.5000]],
  "delta_e_f_ev_per_atom": -0.3828,
  "m_tot_mub_per_atom": 0.0000
}

=====

{
  "formula": "LaC3I",
  "functional": "GGA-PBE",
  "state": "optimized geometry",
  "lattice_angstrom": [[-3.7870, -1.1006, -1.5866], [1.9135, -1.6702, -3.4086], [0.2592, -3.7508, 1.9834]],
  "species": ["La", "I", "C", "C", "C"],
  "fractional_positions": [[0.5000, 0.5000, 0.5000], [0.0000, 0.0000, 0.0000], [0.0000, 0.0000, 0.5000], [0.5000, 0.0000, 0.0000], [0.0000, 0.5000, 0.0000]],
  "de_polymorph_mev_per_atom": 0,
  "m_tot_mub_per_atom": 0.0000,
  "formation_energy_uncorrected_ev_per_fu": 10.65
}

=====

{
  "formula": "SrNi7H12",
  "functional": "GGA-PBE",
  "state": "optimized geometry",
  "lattice_angstrom": [[5.3618, 0.0000, 1.7148], [-2.6286, 4.7838, 2.0591], [0.1046, 0.0000, 5.8329]],
  "species": ["H", "Ni", "H", "Ni", "H", "H", "Sr", "Ni", "H", "Ni", "H", "Ni", "H", "Ni", "H", "H", "Ni", "H", "H", "H"],
  "fractional_positions": [[0.4838, 0.3011, 0.9715], [0.1793, 0.8894, 0.4824], [0.0244, 0.6564, 0.8269], [0.2899, 0.6282, 0.8894], [0.8513, 0.8269, 0.5166], [0.3679, 0.5166, 0.6564], [0.0000, 0.0000, 0.0000], [0.8207, 0.1106, 0.5176], [0.5448, 0.0285, 0.2726], [0.7101, 0.3718, 0.1106], [0.5162, 0.6989, 0.0285], [0.6617, 0.4824, 0.6282], [0.6321, 0.4834, 0.3436], [0.3383, 0.5176, 0.3718], [0.4552, 0.9715, 0.7274], [0.9756, 0.3436, 0.1731], [0.5000, 0.0000, 0.0000], [0.1487, 0.1731, 0.4834], [0.8174, 0.2726, 0.6989], [0.1826, 0.7274, 0.3011]],
  "dft_energy_ev_per_cell": -83.6,
  "m_tot_mub_per_atom": 0.0000
}

=====

{
  "formula": "Li6Ag6Sn",
  "functional": "GGA-PBE",
  "state": "optimized geometry",
  "lattice_angstrom": [[-2.5092, 4.8529, 0.9089], [1.5902, -3.1393, 4.2765], [8.1633, 4.2104, 0.0553]],
  "species": ["Ag", "Li", "Li", "Li", "Ag", "Li", "Ag", "Sn", "Li", "Li", "Ag", "Ag", "Ag"],
  "fractional_positions": [[0.5000, 0.5000, 0.2469], [0.0000, 0.0000, 0.3245], [0.0000, 0.0000, 0.6755], [0.3333, 0.6667, 0.5000], [0.0000, 0.5000, 0.7531], [0.6667, 0.3333, 0.5000], [0.5000, 0.0000, 0.7531], [0.0000, 0.0000, 0.0000], [0.6667, 0.3333, 0.0000], [0.3333, 0.6667, 0.0000], [0.0000, 0.5000, 0.2469], [0.5000, 0.0000, 0.2469], [0.5000, 0.5000, 0.7531]],
  "delta_e_f_ev_per_atom": -0.1574,
  "m_tot_mub_per_atom": 0.0000
}